DFT (PBE) results for a relaxed Dy5Hg2Sb crystal.

Fermi-level density of states = 9.1 states/eV/cell
SG = No. 140
Formation energy without anion corrections = -0.55 eV/atom

The structure in extended XYZ format:
```
16
Lattice="-4.1354 4.1354 6.4921 4.1354 -4.1354 6.4921 4.1354 4.1354 -6.4921" Properties=species:S:1:pos:R:3 pbc="T T T"
Dy 0.0000 0.0000 0.0000
Dy 5.4111 1.2757 -1.9257
Dy 1.2757 2.8597 -1.9257
Dy 5.4111 1.2757 1.9257
Dy 1.2757 2.8597 1.9257
Dy 0.0000 0.0000 6.4921
Dy 2.8597 1.2757 4.5663
Dy -1.2757 2.8597 4.5663
Dy 2.8597 1.2757 8.4178
Dy -1.2757 2.8597 8.4178
Hg 2.9814 1.1540 0.0000
Hg 2.9814 -1.1540 6.4921
Hg 1.1540 5.2894 0.0000
Hg 1.1540 2.9814 6.4921
Sb 0.0000 0.0000 3.2460
Sb 0.0000 0.0000 9.7381
```


DFT (PBE) results for a relaxed CaTiP2Ru crystal.

Fermi-level density of states = 3.4 states/eV/cell
SG = No. 119
ΔE_f = -91 kJ/mol of atoms

The structure in extended XYZ format:
```
5
Lattice="-2.0201 2.0201 5.1592 2.0201 -2.0201 5.1592 2.0201 2.0201 -5.1592" Properties=species:S:1:pos:R:3 pbc="T T T"
Ca 0.0000 0.0000 0.0000
Ti 2.0201 0.0000 2.5796
P 0.0000 0.0000 3.9297
P 0.0000 0.0000 6.3887
Ru 0.0000 2.0201 2.5796
```